Below is a relaxed Pm6CoRh2 crystal, with properties calculated at the PBE-GGA level.

The structure belongs to space group P2_1/c (No. 14); the cell edges are 6.645, 7.417 and 11.874 Å and the angles 90.00°, 122.75° and 90.00°. The distinct sites, in fractional coordinates, are Pm at (0.096, 0.046, 0.250), Pm at (0.243, 0.680, 0.071), Pm at (0.400, 0.176, 0.068), Co at (0.000, 0.000, 0.000) and Rh at (0.308, 0.115, 0.754).

The calculation puts the magnetization at 0.000 μB per formula unit. For the total DFT energy (no corrections), the calculation gives -5.97 eV per atom. As for the energy relative to the elements: -0.384 eV/atom.


Below is a relaxed YbSi2Ni2 crystal, with properties calculated at the PBE-GGA level.

The structure belongs to space group I4/mmm (No. 139); the cell edges are 3.961, 3.961 and 9.639 Å and the angles 90.00°, 90.00° and 90.00°. The distinct sites, in fractional coordinates, are Yb at (0.000, 0.000, 0.000), Si at (0.000, 0.000, 0.372) and Ni at (0.000, 0.500, 0.250).

The calculation puts the magnetization at 0.171 μB per formula unit. For the total DFT energy (no corrections), the calculation gives -5.52 eV per atom. The formation energy without anion corrections comes out at -0.737 eV per atom.


Below is a relaxed Ce4SiAsS2 crystal, with properties calculated at the PBE-GGA level.

The structure belongs to space group P2/m (No. 10); the cell edges are 7.102, 4.132 and 7.162 Å and the angles 90.00°, 109.61° and 90.00°. The distinct sites, in fractional coordinates, are Ce at (0.243, 0.000, 0.246), Ce at (0.244, 0.500, 0.750), Si at (0.500, 0.000, 0.000), As at (0.500, 0.500, 0.500), S at (0.000, 0.000, 0.500) and S at (0.000, 0.500, 0.000).

The calculation puts the magnetization at 2.605 μB per formula unit. For the total DFT energy (no corrections), the calculation gives -6.77 eV per atom. The formation energy without anion corrections comes out at -1.513 eV per atom.